No. 1
CuBPOsS: relaxed, GGA-PBE.

Cell: 3.093 3.640 7.118 Å, 78.92 82.79 67.18°
Atoms (fractional coordinates):
Cu1 0.567 0.824 0.974
S1 0.355 0.000 0.270
P1 0.838 0.888 0.491
Os1 0.888 0.297 0.709
B1 0.213 0.640 0.804

Properties
VASP energy   -6.1608 eV per atom
ΔE to the lowest computed polymorph   81.0 kJ/mol of formula units

---

No. 2
CuBPOsS: relaxed, GGA-PBE.

Cell: 3.069 4.388 5.863 Å, 96.49 104.62 110.50°
Atoms (fractional coordinates):
Cu1 0.094 0.996 0.032
S1 0.186 0.431 0.848
Os1 0.900 0.285 0.417
B1 0.805 0.449 0.067
P1 0.168 0.854 0.388

Properties
VASP energy   -6.1875 eV per atom
ΔE to the lowest computed polymorph   68.1 kJ/mol of formula units

---

No. 3
CuBPOsS: relaxed, GGA-PBE.

Cell: 3.038 4.120 6.107 Å, 87.50 75.60 68.37°
Atoms (fractional coordinates):
P1 0.648 0.583 0.860
S1 0.518 0.373 0.332
Cu1 0.570 0.996 0.604
B1 0.899 0.658 0.284
Os1 0.873 0.994 0.999

Properties
VASP energy   -6.2254 eV per atom
ΔE to the lowest computed polymorph   49.9 kJ/mol of formula units

---

No. 4
CuBPOsS: relaxed, GGA-PBE.

Cell: 3.117 3.415 7.108 Å, 90.92 89.99 117.14°
Atoms (fractional coordinates):
Cu1 0.985 0.087 0.964
B1 0.715 0.546 0.177
S1 0.287 0.690 0.774
P1 0.731 0.577 0.520
Os1 0.040 0.195 0.317

Properties
VASP energy   -6.1650 eV per atom
ΔE to the lowest computed polymorph   79.0 kJ/mol of formula units

---

No. 5
CuBPOsS: relaxed, GGA-PBE.

Cell: 2.943 2.977 8.544 Å, 90.00 90.00 90.00°
Atoms (fractional coordinates):
B1 0.500 0.000 0.960
S1 0.500 0.500 0.835
Os1 0.500 0.500 0.343
Cu1 0.000 0.000 0.136
P1 0.000 0.000 0.478

Properties
VASP energy   -6.1133 eV per atom
ΔE to the lowest computed polymorph   104.0 kJ/mol of formula units

---

No. 6
CuBPOsS: relaxed, GGA-PBE.

Cell: 3.032 3.040 14.736 Å, 90.00 90.00 90.00°
Atoms (fractional coordinates):
B1 0.000 0.000 0.011
B2 0.500 0.500 0.511
S1 0.500 0.000 0.436
S2 0.000 0.500 0.936
Cu1 0.500 0.500 0.817
Cu2 0.000 0.000 0.317
Os1 0.000 0.500 0.624
Os2 0.500 0.000 0.124
P1 0.000 0.500 0.199
P2 0.500 0.000 0.699

Properties
VASP energy   -6.3063 eV per atom
ΔE to the lowest computed polymorph   10.8 kJ/mol of formula units

---

No. 7
CuBPOsS: relaxed, GGA-PBE.

Cell: 7.160 2.975 8.169 Å, 90.00 100.13 90.00°
Atoms (fractional coordinates):
Os1 0.921 0.000 0.228
Os2 0.921 0.500 0.728
P1 0.913 0.500 0.014
P2 0.913 0.000 0.514
B1 0.208 0.500 0.797
B2 0.208 0.000 0.297
S1 0.360 0.500 0.338
S2 0.360 0.000 0.838
Cu1 0.677 0.000 0.878
Cu2 0.677 0.500 0.378

Properties
VASP energy   -6.3287 eV per atom
ΔE to the lowest computed polymorph   0.0 kJ/mol of formula units

---

No. 8
CuBPOsS: relaxed, GGA-PBE.

Cell: 6.836 2.970 10.914 Å, 90.00 127.92 90.00°
Atoms (fractional coordinates):
Cu1 0.800 0.000 0.341
Cu2 0.800 0.500 0.841
P1 0.745 0.000 0.070
P2 0.745 0.500 0.570
S1 0.187 0.000 0.589
S2 0.187 0.500 0.089
B1 0.985 0.000 0.038
B2 0.985 0.500 0.538
Os1 0.531 0.000 0.594
Os2 0.531 0.500 0.094

Properties
VASP energy   -6.0657 eV per atom
ΔE to the lowest computed polymorph   126.9 kJ/mol of formula units

---

No. 9
CuBPOsS: relaxed, GGA-PBE.

Cell: 6.893 3.101 7.453 Å, 90.00 114.50 90.00°
Atoms (fractional coordinates):
P1 0.488 0.000 0.639
P2 0.488 0.500 0.139
S1 0.996 0.000 0.017
S2 0.996 0.500 0.517
Os1 0.331 0.000 0.296
Os2 0.331 0.500 0.796
B1 0.227 0.000 0.955
B2 0.227 0.500 0.455
Cu1 0.740 0.500 0.850
Cu2 0.740 0.000 0.350

Properties
VASP energy   -6.2711 eV per atom
ΔE to the lowest computed polymorph   27.8 kJ/mol of formula units

---

No. 10
CuBPOsS: relaxed, GGA-PBE.

Cell: 3.386 3.738 6.562 Å, 88.51 76.13 63.99°
Atoms (fractional coordinates):
P1 0.479 0.502 0.848
Cu1 0.367 0.006 0.631
B1 0.296 0.569 0.167
Os1 0.031 0.205 0.044
S1 0.002 0.956 0.388

Properties
VASP energy   -6.2778 eV per atom
ΔE to the lowest computed polymorph   24.6 kJ/mol of formula units

---

No. 11
CuB2OsS: relaxed, GGA-PBE.

Cell: 3.809 4.205 3.809 Å, 90.00 90.00 90.00°
Atoms (fractional coordinates):
B1 0.000 0.000 0.500
B2 0.500 0.000 0.000
S1 0.000 0.000 0.000
Cu1 0.000 0.500 0.000
Os1 0.500 0.500 0.500

Properties
VASP energy   -4.7948 eV per atom

---

No. 12
TaCuBOs2: relaxed, GGA-PBE.

Cell: 4.788 4.238 4.788 Å, 90.00 90.00 90.00°
Atoms (fractional coordinates):
Cu1 0.500 0.500 0.500
Ta1 0.000 0.000 0.000
B1 0.000 0.500 0.000
Os1 0.000 0.000 0.500
Os2 0.500 0.000 0.000

Properties
VASP energy   -6.7822 eV per atom
E_form   2.235 eV per atom

---

No. 13
Tl2CuBOs: relaxed, GGA-PBE.

Cell: 4.846 4.062 4.846 Å, 90.00 90.00 90.00°
Atoms (fractional coordinates):
Os1 0.000 0.500 0.000
Tl1 0.000 0.000 0.500
Tl2 0.500 0.000 0.000
Cu1 0.500 0.500 0.500
B1 0.000 0.000 0.000

Properties
VASP energy   -4.2954 eV per atom
E_form   1.052 eV per atom

---

No. 14
CuBP2: relaxed, GGA-PBE.

Cell: 5.074 5.074 5.710 Å, 63.62 63.62 90.00°
Atoms (fractional coordinates):
Cu1 0.750 0.250 0.500
Cu2 0.000 0.000 0.000
B1 0.500 0.500 0.000
B2 0.250 0.750 0.500
P1 0.577 0.125 0.250
P2 0.173 0.625 0.250
P3 0.875 0.827 0.750
P4 0.375 0.423 0.750

Properties
VASP energy   -5.3876 eV per atom
E_form   0.011 eV per atom

---

No. 15
Cu2BP: relaxed, GGA-PBE.

Cell: 4.036 4.036 4.036 Å, 60.00 60.00 60.00°
Atoms (fractional coordinates):
Cu1 0.250 0.250 0.250
Cu2 0.750 0.750 0.750
B1 0.000 0.000 0.000
P1 0.500 0.500 0.500

Properties
VASP energy   -4.3058 eV per atom
E_form   0.764 eV per atom
ΔE to the lowest computed polymorph   101.0 kJ/mol of formula units

---

No. 16
Cu2BP: relaxed, GGA-PBE.

Cell: 3.626 3.626 7.708 Å, 76.40 76.40 90.00°
Atoms (fractional coordinates):
Cu1 0.149 0.625 0.250
Cu2 0.375 0.399 0.750
Cu3 0.601 0.125 0.250
Cu4 0.875 0.851 0.750
B1 0.250 0.750 0.500
B2 0.500 0.500 0.000
P1 0.000 0.000 0.000
P2 0.750 0.250 0.500

Properties
VASP energy   -4.5675 eV per atom
E_form   0.502 eV per atom
ΔE to the lowest computed polymorph   0.0 kJ/mol of formula units

---

No. 17
CuB2P: relaxed, GGA-PBE.

Cell: 4.826 4.826 5.371 Å, 63.30 63.30 90.00°
Atoms (fractional coordinates):
B1 0.375 0.402 0.750
B2 0.598 0.125 0.250
B3 0.152 0.625 0.250
B4 0.875 0.848 0.750
Cu1 0.750 0.250 0.500
Cu2 0.000 0.000 0.000
P1 0.250 0.750 0.500
P2 0.500 0.500 0.000

Properties
VASP energy   -5.2045 eV per atom
E_form   0.511 eV per atom

---

No. 18
CuSiBP2: relaxed, GGA-PBE.

Cell: 4.165 3.968 4.165 Å, 90.00 90.00 90.00°
Atoms (fractional coordinates):
Cu1 0.500 0.500 0.500
P1 0.000 0.000 0.500
P2 0.500 0.000 0.000
B1 0.000 0.000 0.000
Si1 0.000 0.500 0.000

Properties
VASP energy   -4.5765 eV per atom

---

No. 19
Cu2SiBP: relaxed, GGA-PBE.

Cell: 4.035 4.035 4.138 Å, 90.00 90.00 90.00°
Atoms (fractional coordinates):
B1 0.000 0.000 0.000
Cu1 0.000 0.500 0.000
Cu2 0.500 0.000 0.000
Si1 0.500 0.500 0.500
P1 0.000 0.000 0.500

Properties
VASP energy   -4.4819 eV per atom

---

No. 20
CuSnB2P: relaxed, GGA-PBE.

Cell: 3.811 5.684 3.811 Å, 90.00 90.00 90.00°
Atoms (fractional coordinates):
Cu1 0.500 0.500 0.500
P1 0.000 0.000 0.000
Sn1 0.000 0.500 0.000
B1 0.000 0.000 0.500
B2 0.500 0.000 0.000

Properties
VASP energy   -4.2042 eV per atom
E_form   1.169 eV per atom